{"formula": "Li2TiFeO4", "functional": "GGA+U", "state": "optimized geometry", "spacegroup": "I4/mmm", "volume_a3_per_atom": 9.066, "total_energy_ev_per_atom": -6.88, "relative_energy_mev_per_atom": 45.9, "lattice": [[4.248, 0.000, 0.000], [0.000, 4.248, 0.000], [0.000, 0.000, 8.040]], "species": ["Li", "Li", "Li", "Li", "Ti", "Ti", "Fe", "Fe", "O", "O", "O", "O", "O", "O", "O", "O"], "frac_coords": [[0.000, 0.500, 0.250], [0.000, 0.500, 0.750], [0.500, 0.000, 0.250], [0.500, 0.000, 0.750], [0.000, 0.000, 0.000], [0.500, 0.500, 0.500], [0.000, 0.000, 0.500], [0.500, 0.500, 0.000], [0.000, 0.000, 0.234], [0.000, 0.000, 0.766], [0.000, 0.500, 0.000], [0.000, 0.500, 0.500], [0.500, 0.000, 0.000], [0.500, 0.000, 0.500], [0.500, 0.500, 0.266], [0.500, 0.500, 0.734]]}